## Ho2TmMgC (PBE-GGA)

Data for a geometry-optimized Ho2TmMgC structure.

Cell and atoms, written as CIF:
```
data_Ho2TmMgC
_chemical_formula_sum 'Ho2 Tm1 Mg1 C1'
_symmetry_space_group_name_H-M 'P 4/m m m'
_symmetry_Int_Tables_number 123
_symmetry_space_group_name_Hall '-P 4 2'
_cell_length_a 4.966
_cell_length_b 4.966
_cell_length_c 4.862
_cell_angle_alpha 90.00
_cell_angle_beta 90.00
_cell_angle_gamma 90.00
loop_
_atom_site_label
_atom_site_fract_x
_atom_site_fract_y
_atom_site_fract_z
Ho1 0.000 0.500 0.000
Tm1 0.000 0.000 0.500
Mg1 0.500 0.500 0.500
C1 0.000 0.000 0.000
```

Mass density   7.410 g/cm³
ΔE_f   -0.207 eV per atom